1.
The following is a DFT calculation (GGA-PBEsol) of a relaxed structure of Rb4PbBr6.

Unit cell a=9.3634 b=9.3634 c=9.3634 alpha=89.47 beta=89.47 gamma=89.47
With the nearest neighbours (Å) after each atom.
Atoms (fractional coordinates):
Br (0.4272, 0.1942, 0.5596)  1 Pb 3.00
Br (0.4404, 0.5728, 0.8058)  1 Pb 3.00
Br (0.0596, 0.6942, 0.9272)  1 Pb 3.00
Br (0.0728, 0.9404, 0.3058)  1 Pb 3.00
Br (0.3058, 0.0728, 0.9404)  1 Pb 3.00
Br (0.9404, 0.3058, 0.0728)  1 Pb 3.00
Br (0.1942, 0.5596, 0.4272)  1 Pb 3.00
Br (0.6942, 0.9272, 0.0596)  1 Pb 3.00
Br (0.8058, 0.4404, 0.5728)  1 Pb 3.00
Br (0.5728, 0.8058, 0.4404)  1 Pb 3.00
Br (0.5596, 0.4272, 0.1942)  1 Pb 3.00
Br (0.9272, 0.0596, 0.6942)  1 Pb 3.00
Rb (0.3682, 0.7500, 0.1318)  8 Br 3.53-3.66
Rb (0.6318, 0.2500, 0.8682)  8 Br 3.53-3.66
Rb (0.8682, 0.6318, 0.2500)  8 Br 3.53-3.66
Rb (0.2500, 0.2500, 0.2500)  6 Br 3.39
Rb (0.1318, 0.3682, 0.7500)  8 Br 3.53-3.66
Rb (0.7500, 0.1318, 0.3682)  8 Br 3.53-3.66
Rb (0.7500, 0.7500, 0.7500)  6 Br 3.39
Rb (0.2500, 0.8682, 0.6318)  8 Br 3.53-3.66
Pb (0.5000, 0.5000, 0.5000)  6 Br 3.00
Pb (0.0000, 0.0000, 0.0000)  6 Br 3.00

Formation energy (no corrections) (eV per atom): -1.518
Volume (Å³/atom): 37.309
Space group: R-3c

2.
The following is a DFT calculation (GGA-PBEsol) of a relaxed structure of CsB6I6.

Unit cell a=10.3659 b=10.3659 c=18.0986 alpha=73.36 beta=73.36 gamma=60.00
With the nearest neighbours (Å) after each atom.
Atoms (fractional coordinates):
I (0.1882, 0.6152, 0.6807)  1 B 2.16
I (0.1981, 0.3599, 0.5458)  1 B 2.17
I (0.7508, 0.1888, 0.1803)  1 B 2.16
I (0.9150, 0.7114, 0.9540)  1 B 2.16
I (0.7114, 0.4195, 0.9540)  1 B 2.16
I (0.4842, 0.8118, 0.3193)  1 B 2.16
I (0.8019, 0.6401, 0.4542)  1 B 2.17
I (0.8801, 0.7508, 0.1803)  1 B 2.16
I (0.6401, 0.1038, 0.4542)  1 B 2.17
I (0.5158, 0.1882, 0.6807)  1 B 2.16
I (0.8962, 0.1981, 0.5458)  1 B 2.17
I (0.6152, 0.5158, 0.6807)  1 B 2.16
I (0.1038, 0.8019, 0.4542)  1 B 2.17
I (0.2886, 0.5805, 0.0460)  1 B 2.16
I (0.3848, 0.4842, 0.3193)  1 B 2.16
I (0.4195, 0.9150, 0.9540)  1 B 2.16
I (0.0850, 0.2886, 0.0460)  1 B 2.16
I (0.1199, 0.2492, 0.8197)  1 B 2.16
I (0.5805, 0.0850, 0.0460)  1 B 2.16
I (0.1888, 0.8801, 0.1803)  1 B 2.16
I (0.2492, 0.8112, 0.8197)  1 B 2.16
I (0.8112, 0.1199, 0.8197)  1 B 2.16
I (0.3599, 0.8962, 0.5458)  1 B 2.17
I (0.8118, 0.3848, 0.3193)  1 B 2.16
B (0.6757, 0.3683, 0.5187)  5 B 1.78-1.79
B (0.3683, 0.4373, 0.5187)  5 B 1.78-1.79
B (0.9616, 0.8728, 0.9812)  5 B 1.78-1.79
B (0.8728, 0.1845, 0.9812)  5 B 1.78-1.79
B (0.4489, 0.4913, 0.4213)  5 B 1.78-1.79
B (0.0384, 0.1272, 0.0188)  5 B 1.78-1.79
B (0.6385, 0.4489, 0.4213)  5 B 1.78-1.79
B (0.6317, 0.5627, 0.4813)  5 B 1.78-1.79
B (0.3615, 0.5511, 0.5787)  5 B 1.78-1.79
B (0.4373, 0.6757, 0.5187)  5 B 1.78-1.79
B (0.8906, 0.0841, 0.0790)  5 B 1.78-1.79
B (0.8155, 0.0384, 0.0188)  5 B 1.78-1.79
B (0.5627, 0.3243, 0.4813)  5 B 1.78-1.79
B (0.4913, 0.6385, 0.4213)  5 B 1.78-1.79
B (0.9159, 0.0537, 0.9210)  5 B 1.78-1.79
B (0.9463, 0.8906, 0.0790)  5 B 1.78-1.79
B (0.1272, 0.8155, 0.0188)  5 B 1.78-1.79
B (0.3243, 0.6317, 0.4813)  5 B 1.78-1.79
B (0.1845, 0.9616, 0.9812)  5 B 1.78-1.79
B (0.5087, 0.3615, 0.5787)  5 B 1.78-1.79
B (0.5511, 0.5087, 0.5787)  5 B 1.78-1.79
B (0.1094, 0.9159, 0.9210)  5 B 1.78-1.79
B (0.0537, 0.1094, 0.9210)  5 B 1.78-1.79
B (0.0841, 0.9463, 0.0790)  5 B 1.78-1.79
Cs (0.7902, 0.7902, 0.6293)  6 I 3.86
Cs (0.3748, 0.3748, 0.8757)  9 I 3.89-4.06
Cs (0.2098, 0.2098, 0.3707)  6 I 3.86
Cs (0.6252, 0.6252, 0.1243)  9 I 3.89-4.06

Formation energy (no corrections) (eV per atom): -0.430
Volume (Å³/atom): 30.566
Space group: R-3

3.
The following is a DFT calculation (GGA-PBEsol) of a relaxed structure of AlOs3Rh.

Unit cell a=4.5886 b=4.5886 c=4.5886 alpha=90.00 beta=90.00 gamma=90.00
With the nearest neighbours (Å) after each atom.
Atoms (fractional coordinates):
Rh (0.0000, 0.0000, 0.0000)  6 Os 2.29
Os (0.0000, 0.0000, 0.5000)  2 Rh 2.29
Os (0.5000, 0.0000, 0.0000)  2 Rh 2.29
Os (0.0000, 0.5000, 0.0000)  2 Rh 2.29
Al (0.5000, 0.5000, 0.5000)  12 Os 3.24

DFT formation energy (eV per atom): 2.413
Volume (Å³/atom): 19.323
Space group: Pm-3m

4.
The following is a DFT calculation (GGA-PBEsol) of a relaxed structure of Sc4TaCl.

Unit cell a=5.7110 b=5.7110 c=5.7110 alpha=60.00 beta=60.00 gamma=60.00
With the nearest neighbours (Å) after each atom.
Atoms (fractional coordinates):
Sc (0.3784, 0.3784, 0.8647)  6 Sc 2.78-2.93
Sc (0.3784, 0.8647, 0.3784)  6 Sc 2.78-2.93
Sc (0.8647, 0.3784, 0.3784)  6 Sc 2.78-2.93
Sc (0.3784, 0.3784, 0.3784)  6 Sc 2.78-2.93
Cl (0.0000, 0.0000, 0.0000)  12 Sc 3.36, 4 Ta 3.50
Ta (0.7500, 0.7500, 0.7500)  12 Sc 3.34, 4 Cl 3.50

Formation energy (no corrections) (eV per atom): 0.590
Volume (Å³/atom): 21.952
Space group: F-43m

5.
The following is a DFT calculation (GGA-PBEsol) of a relaxed structure of MgBeP2Cl.

Unit cell a=4.0461 b=4.0461 c=5.5642 alpha=90.00 beta=90.00 gamma=90.00
With the nearest neighbours (Å) after each atom.
Atoms (fractional coordinates):
Cl (0.0000, 0.0000, 0.5000)  2 Be 2.78, 4 Mg 2.86
Mg (0.5000, 0.5000, 0.5000)  4 Cl 2.86
P (0.5000, 0.0000, 0.0000)  2 Be 2.02
P (0.0000, 0.5000, 0.0000)  2 Be 2.02
Be (0.0000, 0.0000, 0.0000)  4 P 2.02

Formation energy (no corrections) (eV per atom): 0.093
Volume (Å³/atom): 18.218
Space group: P4/mmm

6.
The following is a DFT calculation (GGA-PBEsol) of a relaxed structure of AlCd4Te.

Unit cell a=5.8106 b=5.8106 c=5.8106 alpha=60.00 beta=60.00 gamma=60.00
With the nearest neighbours (Å) after each atom.
Atoms (fractional coordinates):
Cd (0.8775, 0.3742, 0.3742)  6 Cd 2.89-2.92
Cd (0.3742, 0.3742, 0.3742)  6 Cd 2.89-2.92
Cd (0.3742, 0.8775, 0.3742)  6 Cd 2.89-2.92
Cd (0.3742, 0.3742, 0.8775)  6 Cd 2.89-2.92
Al (0.0000, 0.0000, 0.0000)  12 Cd 3.40, 4 Te 3.56
Te (0.7500, 0.7500, 0.7500)  12 Cd 3.41, 4 Al 3.56

Formation energy (no corrections) (eV per atom): 0.235
Volume (Å³/atom): 23.121
Space group: F-43m